Crystalline Be2RuPt at its relaxed geometry. Source: Alexandria, functional PBEsol.

Properties
Volume in Å³/cell: 191.7
Total DFT energy (no corrections) in eV per atom: -6.205
ΔE_f in meV per atom: 79
Distance to the lowest polymorph of the same formula in meV/atom: 586.5

extended XYZ file:
```
16
Lattice="5.7660 0.0000 0.0000 0.0000 5.7660 0.0000 0.0000 0.0000 5.7660" Properties=species:S:1:pos:R:3 pbc="T T T"
Be 0.0000 0.0000 0.0000
Be 0.0000 2.8830 2.8830
Be 1.4415 1.4415 1.4415
Be 1.4415 4.3245 4.3245
Be 2.8830 0.0000 2.8830
Be 2.8830 2.8830 0.0000
Be 4.3245 1.4415 4.3245
Be 4.3245 4.3245 1.4415
Ru 0.0000 0.0000 2.8830
Ru 0.0000 2.8830 0.0000
Ru 2.8830 0.0000 0.0000
Ru 2.8830 2.8830 2.8830
Pt 1.4415 1.4415 4.3245
Pt 1.4415 4.3245 1.4415
Pt 4.3245 1.4415 1.4415
Pt 4.3245 4.3245 4.3245
```